Material: TlCr2SnO8
Method: DFT, PBE+U
State: relaxed

Lattice parameters (Å, degrees): 5.3008 5.3008 8.1206 86.19 86.19 65.03
With the nearest neighbours (Å) after each atom.
Fractional positions:
O: 0.2306 0.2306 0.9458  1 Cr 1.70
O: 0.2708 0.7697 0.1846  1 Cr 1.73
O: 0.6919 0.6919 0.3880  1 Cr 1.63
O: 0.3081 0.3081 0.6120  1 Cr 1.63
O: 0.7292 0.2303 0.8154  1 Cr 1.73
O: 0.7694 0.7694 0.0542  1 Cr 1.70
O: 0.7697 0.2708 0.1846  1 Cr 1.73
O: 0.2303 0.7292 0.8154  1 Cr 1.73
Cr: 0.6269 0.6269 0.2066  4 O 1.63-1.73
Cr: 0.3731 0.3731 0.7934  4 O 1.63-1.73
Tl: 0.0000 0.0000 0.5000  6 O 2.93-2.97
Sn: 0.0000 0.0000 0.0000  6 O 2.07-2.09

Properties
Its total DFT energy (no corrections) is -6.34 eV/atom. The magnetization comes out at 1.00 μB/f.u. The density of states at the Fermi level is 2.2 states/eV per cell.